1.
A geometry-optimized FeTc3 structure, computed with GGA-PBEsol.

Cell lengths 4.729, 4.729, 4.729 Å; angles 90.00, 90.00, 90.00 degrees
Fractional coordinates of all 8 atoms:
1 Fe 0.000 0.000 0.000
2 Fe 0.500 0.500 0.500
3 Tc 0.000 0.250 0.500
4 Tc 0.000 0.750 0.500
5 Tc 0.250 0.500 0.000
6 Tc 0.500 0.000 0.250
7 Tc 0.500 0.000 0.750
8 Tc 0.750 0.500 0.000

Values from the calculation:
The value obtained for the formation energy is 33 kJ/mol of formula units. The calculation puts the density of states at the Fermi level at 8.86 states/eV per cell. Its volume is 105.77 Å³/cell. The symmetry is Pm-3n (223).

2.
A geometry-optimized FeTc7 structure, computed with GGA-PBEsol.

Cell lengths 5.357, 5.357, 5.357 Å; angles 60.00, 60.00, 60.00 degrees
Fractional coordinates of all 8 atoms:
1 Fe 0.000 0.000 0.000
2 Tc 0.000 0.500 0.500
3 Tc 0.000 0.500 0.000
4 Tc 0.000 0.000 0.500
5 Tc 0.500 0.500 0.000
6 Tc 0.500 0.000 0.500
7 Tc 0.500 0.000 0.000
8 Tc 0.500 0.500 0.500

Values from the calculation:
The value obtained for the formation energy is 71 kJ/mol of formula units. The calculation puts the density of states at the Fermi level at 8.71 states/eV per cell. Its volume is 108.71 Å³/cell. The symmetry is Fm-3m (225).

Calculated DFT total energy in order - -10.604; -10.886 eV per atom